(1)
Crystalline Ga3BiPt at its relaxed geometry. Source: Alexandria, functional GGA-PBE.

Calculated values
* calculated density: 8.6 g/cm³
* ΔE_f: -0.118 eV/atom
* DOS at the Fermi energy: 0.9676 states/eV/atom
* polymorph energy (0 for the lowest one): 0.000 eV per atom

Cell: 4.910 4.910 4.910 Å, 90.00 90.00 90.00°
Atoms (fractional coordinates):
Ga: 0.000 0.000 0.500
Ga: 0.000 0.500 0.000
Ga: 0.500 0.000 0.000
Bi: 0.500 0.500 0.500
Pt: 0.000 0.000 0.000


(2)
Crystalline Cs2LiTeMo at its relaxed geometry. Source: Alexandria, functional GGA-PBE.

Calculated values
* calculated density: 4.2 g/cm³
* raw formation energy: 4.59 eV per formula unit
* DOS at the Fermi energy: 0.5140 states/eV/atom

Cell: 5.973 5.973 5.483 Å, 90.00 90.00 90.00°
Atoms (fractional coordinates):
Cs: 0.000 0.500 0.000
Cs: 0.500 0.000 0.000
Li: 0.000 0.000 0.500
Te: 0.500 0.500 0.500
Mo: 0.000 0.000 0.000


(3)
Crystalline Pr8SnOs2 at its relaxed geometry. Source: Alexandria, functional GGA-PBE.

Calculated values
* calculated density: 7.9 g/cm³
* ΔE_f: -0.130 eV/atom
* DOS at the Fermi energy: 1.0469 states/eV/atom

Cell: 8.194 8.194 5.651 Å, 97.29 97.29 112.24°
Atoms (fractional coordinates):
Pr: 0.000 0.000 0.000
Pr: 0.063 0.321 0.635
Pr: 0.136 0.636 0.203
Pr: 0.321 0.063 0.635
Pr: 0.451 0.709 0.771
Pr: 0.636 0.136 0.203
Pr: 0.709 0.451 0.771
Pr: 0.772 0.772 0.405
Sn: 0.386 0.386 0.203
Os: 0.074 0.698 0.702
Os: 0.698 0.074 0.702


(4)
Crystalline B3SeCl at its relaxed geometry. Source: Alexandria, functional GGA-PBE.

Calculated values
* calculated density: 3.0 g/cm³
* raw formation energy: 10.48 eV per formula unit
* DOS at the Fermi energy: 0.6868 states/eV/atom
* polymorph energy (0 for the lowest one): 0.000 eV per atom

Cell: 4.308 4.308 4.308 Å, 90.00 90.00 90.00°
Atoms (fractional coordinates):
B: 0.000 0.000 0.500
B: 0.000 0.500 0.000
B: 0.500 0.000 0.000
Se: 0.000 0.000 0.000
Cl: 0.500 0.500 0.500